{"formula": "KTe", "functional": "PBE-GGA", "state": "relaxed", "lattice": [[5.444, 0.000, 0.000], [0.000, 19.825, 0.000], [0.000, 0.000, 11.262]], "species": ["Te", "Te", "Te", "Te", "Te", "Te", "Te", "Te", "Te", "Te", "Te", "Te", "Te", "Te", "Te", "Te", "K", "K", "K", "K", "K", "K", "K", "K", "K", "K", "K", "K", "K", "K", "K", "K"], "frac_coords": [[0.000, 0.897, 0.000], [0.250, 0.647, 0.250], [0.500, 0.397, 0.000], [0.500, 0.603, 0.000], [0.750, 0.853, 0.750], [0.250, 0.853, 0.250], [0.250, 0.147, 0.750], [0.000, 0.397, 0.500], [0.000, 0.103, 0.000], [0.750, 0.147, 0.250], [0.000, 0.603, 0.500], [0.500, 0.103, 0.500], [0.750, 0.353, 0.250], [0.250, 0.353, 0.750], [0.500, 0.897, 0.500], [0.750, 0.647, 0.750], [0.000, 0.500, 0.143], [0.000, 0.500, 0.857], [0.500, 0.000, 0.857], [0.250, 0.250, 0.107], [0.750, 0.250, 0.607], [0.500, 0.000, 0.143], [0.250, 0.250, 0.393], [0.750, 0.750, 0.393], [0.500, 0.500, 0.357], [0.250, 0.750, 0.893], [0.000, 0.000, 0.643], [0.750, 0.750, 0.107], [0.000, 0.000, 0.357], [0.750, 0.250, 0.893], [0.500, 0.500, 0.643], [0.250, 0.750, 0.607]], "e_tot_ev_per_atom": -2.7848, "volume_a3_per_atom": 38.0, "e_form_raw_ev_per_atom": -0.665}